# 1
Below is a relaxed structure of LiCr2Ru, with properties calculated at the PBEsol level.

Lattice parameters (Å, degrees): 2.4785 4.6827 4.6827 119.11 90.00 90.00
Element x y z (fractional)
Cr 0.0000 0.5000 0.0000
Cr 0.0000 0.0000 0.5000
Li 0.5000 0.0000 0.0000
Ru 0.5000 0.5000 0.5000

Values from the calculation:
Crystal system = orthorhombic
Electronic total energy = -7.72 eV per atom
D(E_F) = 4.102 states/eV per cell
Energy of formation = 0.439 eV/atom

# 2
Below is a relaxed structure of ZrTl2P, with properties calculated at the PBEsol level.

Lattice parameters (Å, degrees): 3.1703 3.1703 9.0920 90.00 90.00 108.44
Element x y z (fractional)
Zr 0.5000 0.5000 0.5000
P 0.5000 0.5000 0.0000
Tl 0.0000 0.0000 0.7631
Tl 0.0000 0.0000 0.2369

Values from the calculation:
Crystal system = orthorhombic
Electronic total energy = -4.70 eV per atom
D(E_F) = 3.577 states/eV per cell
Energy of formation = 0.333 eV/atom

# 3
Below is a relaxed structure of Li2YC2, with properties calculated at the PBEsol level.

Lattice parameters (Å, degrees): 3.4693 3.4693 5.1520 109.68 109.68 90.00
Element x y z (fractional)
Li 0.2500 0.7500 0.5000
Li 0.7500 0.2500 0.5000
C 0.4175 0.4175 0.8351
C 0.5825 0.5825 0.1649
Y 0.0000 0.0000 0.0000

Values from the calculation:
Crystal system = tetragonal
Electronic total energy = -6.03 eV per atom
D(E_F) = 1.579 states/eV per cell
Energy of formation = -0.017 eV/atom

# 4
Below is a relaxed structure of HfGaRh2, with properties calculated at the PBEsol level.

Lattice parameters (Å, degrees): 4.3928 4.3928 4.3928 60.00 60.00 60.00
Element x y z (fractional)
Rh 0.2500 0.2500 0.2500
Rh 0.7500 0.7500 0.7500
Ga 0.0000 0.0000 0.0000
Hf 0.5000 0.5000 0.5000

Values from the calculation:
Crystal system = cubic
Electronic total energy = -8.43 eV per atom
D(E_F) = 3.319 states/eV per cell
Energy of formation = -0.899 eV/atom

# 5
Below is a relaxed structure of BeH2SeO4, with properties calculated at the PBEsol level.

Lattice parameters (Å, degrees): 5.4962 7.4397 7.8037 90.00 90.00 90.00
Element x y z (fractional)
O 0.3317 0.2658 0.7846
O 0.8317 0.2342 0.2154
O 0.2926 0.3238 0.1171
O 0.2074 0.6762 0.6171
O 0.7650 0.5777 0.1392
O 0.7074 0.8238 0.3829
O 0.2350 0.0777 0.3608
O 0.1683 0.7342 0.2846
O 0.0912 0.4103 0.4198
O 0.9088 0.9103 0.0802
O 0.2650 0.9223 0.8608
O 0.6683 0.7658 0.7154
O 0.4088 0.5897 0.9198
O 0.7926 0.1762 0.8829
O 0.7350 0.4223 0.6392
O 0.5912 0.0897 0.5802
H 0.3750 0.0862 0.4465
H 0.1250 0.9138 0.9465
H 0.2262 0.9495 0.3187
H 0.7738 0.4495 0.1813
H 0.2738 0.0505 0.8187
H 0.8750 0.4138 0.5535
H 0.7262 0.5505 0.6813
H 0.6250 0.5862 0.0535
Se 0.8006 0.9155 0.5741
Se 0.1994 0.4155 0.9259
Se 0.6994 0.0845 0.0741
Se 0.3006 0.5845 0.4259
Be 0.1150 0.2553 0.2718
Be 0.3850 0.7447 0.7718
Be 0.8850 0.7553 0.2282
Be 0.6150 0.2447 0.7282

Values from the calculation:
Crystal system = orthorhombic
Electronic total energy = -5.83 eV per atom
D(E_F) = 0.000 states/eV per cell

# 6
Below is a relaxed structure of CdNiBi2N, with properties calculated at the PBEsol level.

Lattice parameters (Å, degrees): 4.1607 4.9438 4.9438 90.00 90.00 90.00
Element x y z (fractional)
Ni 0.5000 0.5000 0.5000
Bi 0.0000 0.5000 0.0000
Bi 0.0000 0.0000 0.5000
N 0.0000 0.0000 0.0000
Cd 0.5000 0.0000 0.0000

Values from the calculation:
E_form (uncorrected) = 16.5 kcal/mol of atoms
Crystal system = tetragonal
Electronic total energy = -4.18 eV per atom
D(E_F) = 3.888 states/eV per cell

# 7
Below is a relaxed structure of SnPb2O4, with properties calculated at the PBEsol level.

Lattice parameters (Å, degrees): 6.3848 8.7420 8.7420 90.00 90.00 90.00
Element x y z (fractional)
Pb 0.0000 0.3593 0.6604
Pb 0.0000 0.6407 0.3396
Pb 0.5000 0.6604 0.6407
Pb 0.0000 0.8593 0.8396
Pb 0.0000 0.1407 0.1604
Pb 0.5000 0.1604 0.8593
Pb 0.5000 0.3396 0.3593
Pb 0.5000 0.8396 0.1407
O 0.2500 0.6663 0.1663
O 0.7500 0.6663 0.1663
O 0.5000 0.1263 0.5955
O 0.2500 0.8337 0.6663
O 0.2500 0.3337 0.8337
O 0.7500 0.8337 0.6663
O 0.5000 0.6263 0.9045
O 0.7500 0.3337 0.8337
O 0.2500 0.1663 0.3337
O 0.5000 0.8737 0.4045
O 0.7500 0.1663 0.3337
O 0.0000 0.4045 0.1263
O 0.0000 0.0955 0.6263
O 0.0000 0.9045 0.3737
O 0.0000 0.5955 0.8737
O 0.5000 0.3737 0.0955
Sn 0.7500 0.5000 0.0000
Sn 0.7500 0.0000 0.5000
Sn 0.2500 0.5000 0.0000
Sn 0.2500 0.0000 0.5000

Values from the calculation:
E_form (uncorrected) = -31.7 kcal/mol of atoms
Crystal system = tetragonal
Electronic total energy = -6.13 eV per atom
D(E_F) = 0.000 states/eV per cell

# 8
Below is a relaxed structure of PrSi2Ni2, with properties calculated at the PBEsol level.

Lattice parameters (Å, degrees): 4.0283 4.0283 5.5526 111.27 111.27 90.00
Element x y z (fractional)
Pr 0.0000 0.0000 0.0000
Si 0.3684 0.3684 0.7368
Si 0.6316 0.6316 0.2632
Ni 0.2500 0.7500 0.5000
Ni 0.7500 0.2500 0.5000

Values from the calculation:
E_form (uncorrected) = -19.6 kcal/mol of atoms
Crystal system = tetragonal
Electronic total energy = -6.65 eV per atom
D(E_F) = 3.851 states/eV per cell

# 9
Below is a relaxed structure of Tl5Cd, with properties calculated at the PBEsol level.

Lattice parameters (Å, degrees): 4.5719 4.8344 7.6580 90.00 107.37 90.00
Element x y z (fractional)
Tl 0.0000 0.5000 0.0000
Tl 0.1617 0.0000 0.3234
Tl 0.3364 0.5000 0.6728
Tl 0.6636 0.5000 0.3272
Tl 0.8383 0.0000 0.6766
Cd 0.5000 0.0000 0.0000

Values from the calculation:
Crystal system = orthorhombic
Distance to the lowest polymorph of the same formula = 12.5 meV/atom
Electronic total energy = -2.35 eV per atom
D(E_F) = 2.719 states/eV per cell
Energy of formation = 0.042 eV/atom

# 10
Below is a relaxed structure of CdSe2O5, with properties calculated at the PBEsol level.

Lattice parameters (Å, degrees): 5.9059 6.9676 6.9676 109.02 105.84 105.84
Element x y z (fractional)
Se 0.6131 0.0077 0.2894
Se 0.3869 0.9923 0.7106
Se 0.8869 0.7106 0.9923
Se 0.1131 0.2894 0.0077
O 0.8166 0.2780 0.4065
O 0.1834 0.7220 0.5935
O 0.7764 0.5163 0.0760
O 0.2236 0.4837 0.9240
O 0.7500 0.9151 0.0849
O 0.2500 0.0849 0.9151
O 0.2764 0.0760 0.5163
O 0.6834 0.5935 0.7220
O 0.3166 0.4065 0.2780
O 0.7236 0.9240 0.4837
Cd 0.2500 0.4086 0.5914
Cd 0.7500 0.5914 0.4086

Values from the calculation:
E_form (uncorrected) = -20.4 kcal/mol of atoms
Crystal system = monoclinic
Electronic total energy = -5.28 eV per atom
D(E_F) = 0.000 states/eV per cell

# 11
Below is a relaxed structure of LaTlW2, with properties calculated at the PBEsol level.

Lattice parameters (Å, degrees): 2.9599 2.9599 10.7513 82.09 82.09 60.00
Element x y z (fractional)
W 0.7429 0.7429 0.7713
W 0.2571 0.2571 0.2287
La 0.5000 0.5000 0.5000
Tl 0.0000 0.0000 0.0000

Values from the calculation:
Crystal system = trigonal
Electronic total energy = -7.84 eV per atom
D(E_F) = 3.823 states/eV per cell
Energy of formation = 1.056 eV/atom

# 12
Below is a relaxed structure of KCN2, with properties calculated at the PBEsol level.

Lattice parameters (Å, degrees): 3.9531 3.9531 6.1774 71.34 71.34 60.00
Each line ends with the local moment (μB).
Element x y z (fractional)
N 0.0716 0.0716 0.7852  0.37
N 0.9284 0.9284 0.2148  0.37
C 0.0000 0.0000 0.0000  -0.07
K 0.5000 0.5000 0.5000  0.01

Values from the calculation:
E_form (uncorrected) = 1.0 kcal/mol of atoms
Crystal system = trigonal
Distance to the lowest polymorph of the same formula = 0.0 meV/atom
Electronic total energy = -6.92 eV per atom
D(E_F) = 2.851 states/eV per cell

# 13
Below is a relaxed structure of Ta2MnPt, with properties calculated at the PBEsol level.

Lattice parameters (Å, degrees): 3.7773 4.0772 4.8361 114.93 112.99 90.00
Each line ends with the local moment (μB).
Element x y z (fractional)
Ta 0.7554 0.7554 0.5108  -0.12
Ta 0.2446 0.2446 0.4892  -0.12
Pt 0.0000 0.5000 0.0000  -0.05
Mn 0.5000 0.0000 0.0000  1.80

Values from the calculation:
Crystal system = orthorhombic
Electronic total energy = -10.72 eV per atom
D(E_F) = 3.967 states/eV per cell
Energy of formation = -0.265 eV/atom

# 14
Below is a relaxed structure of LiAg2, with properties calculated at the PBEsol level.

Lattice parameters (Å, degrees): 8.0300 8.0300 8.0300 60.00 60.00 60.00
Element x y z (fractional)
Li 0.2771 0.9076 0.9076
Li 0.3424 0.9729 0.3424
Li 0.9076 0.2771 0.9076
Li 0.3424 0.3424 0.9729
Li 0.9076 0.9076 0.9076
Li 0.3424 0.3424 0.3424
Li 0.9729 0.3424 0.3424
Li 0.9076 0.9076 0.2771
Ag 0.9381 0.9381 0.5619
Ag 0.3119 0.6881 0.6881
Ag 0.6250 0.1250 0.1250
Ag 0.5619 0.5619 0.9381
Ag 0.5619 0.9381 0.5619
Ag 0.5619 0.9381 0.9381
Ag 0.3119 0.6881 0.3119
Ag 0.6881 0.6881 0.3119
Ag 0.6881 0.3119 0.3119
Ag 0.9381 0.5619 0.9381
Ag 0.9381 0.5619 0.5619
Ag 0.6881 0.3119 0.6881
Ag 0.1250 0.1250 0.1250
Ag 0.1250 0.1250 0.6250
Ag 0.3119 0.3119 0.6881
Ag 0.1250 0.6250 0.1250

Values from the calculation:
Crystal system = cubic
Distance to the lowest polymorph of the same formula = 90.8 meV/atom
Electronic total energy = -2.93 eV per atom
D(E_F) = 4.344 states/eV per cell
Energy of formation = -0.069 eV/atom

# 15
Below is a relaxed structure of ZrFePRu2, with properties calculated at the PBEsol level.

Lattice parameters (Å, degrees): 4.2847 4.2847 4.6652 90.00 90.00 90.00
Element x y z (fractional)
Zr 0.0000 0.0000 0.5000
P 0.5000 0.5000 0.5000
Ru 0.0000 0.5000 0.0000
Ru 0.5000 0.0000 0.0000
Fe 0.0000 0.0000 0.0000

Values from the calculation:
Crystal system = tetragonal
Electronic total energy = -7.98 eV per atom
D(E_F) = 5.942 states/eV per cell
Energy of formation = 0.860 eV/atom

# 16
Below is a relaxed structure of CrInNi2, with properties calculated at the PBEsol level.

Lattice parameters (Å, degrees): 2.7745 2.7745 8.2146 80.28 80.28 60.00
Each line ends with the local moment (μB).
Element x y z (fractional)
Ni 0.2577 0.2577 0.2268  0.15
Ni 0.7423 0.7423 0.7732  0.15
In 0.5000 0.5000 0.5000  0.00
Cr 0.0000 0.0000 0.0000  1.49

Values from the calculation:
Crystal system = trigonal
Electronic total energy = -6.04 eV per atom
D(E_F) = 4.083 states/eV per cell
Energy of formation = 0.342 eV/atom

# 17
Below is a relaxed structure of CrTcIr2, with properties calculated at the PBEsol level.

Lattice parameters (Å, degrees): 2.6687 2.6687 7.4825 90.00 90.00 90.00
Element x y z (fractional)
Ir 0.0000 0.0000 0.7397
Ir 0.0000 0.0000 0.2603
Tc 0.5000 0.5000 0.0000
Cr 0.5000 0.5000 0.5000

Values from the calculation:
Crystal system = tetragonal
Distance to the lowest polymorph of the same formula = 88.2 meV/atom
Electronic total energy = -10.47 eV per atom
D(E_F) = 3.767 states/eV per cell
Energy of formation = -0.183 eV/atom

# 18
Below is a relaxed structure of MnCr2Ir, with properties calculated at the PBEsol level.

Lattice parameters (Å, degrees): 2.6566 2.6566 6.6797 90.00 90.00 90.00
Element x y z (fractional)
Ir 0.5000 0.5000 0.0000
Cr 0.0000 0.0000 0.2752
Cr 0.0000 0.0000 0.7248
Mn 0.5000 0.5000 0.5000

Values from the calculation:
Crystal system = tetragonal
Electronic total energy = -9.98 eV per atom
D(E_F) = 6.852 states/eV per cell
Energy of formation = 0.040 eV/atom

# 19
Below is a relaxed structure of Tb2Nb3Ge4, with properties calculated at the PBEsol level.

Lattice parameters (Å, degrees): 6.9489 7.1238 13.4457 90.00 90.00 90.00
Element x y z (fractional)
Tb 0.9976 0.1732 0.9049
Tb 0.5024 0.6732 0.0951
Tb 0.4976 0.3268 0.9049
Tb 0.0024 0.8268 0.4049
Tb 0.4976 0.3268 0.5951
Tb 0.9976 0.1732 0.5951
Tb 0.0024 0.8268 0.0951
Tb 0.5024 0.6732 0.4049
Ge 0.3268 0.9612 0.9583
Ge 0.1953 0.3627 0.7500
Ge 0.6732 0.0388 0.4583
Ge 0.1732 0.4612 0.0417
Ge 0.6732 0.0388 0.0417
Ge 0.9605 0.8789 0.7500
Ge 0.5395 0.3789 0.2500
Ge 0.8268 0.5388 0.9583
Ge 0.3047 0.8627 0.2500
Ge 0.8268 0.5388 0.5417
Ge 0.6953 0.1373 0.7500
Ge 0.4605 0.6211 0.7500
Ge 0.0395 0.1211 0.2500
Ge 0.3268 0.9612 0.5417
Ge 0.8047 0.6373 0.2500
Ge 0.1732 0.4612 0.4583
Nb 0.6644 0.0121 0.2500
Nb 0.3356 0.9879 0.7500
Nb 0.1599 0.6715 0.6268
Nb 0.3401 0.1715 0.1268
Nb 0.1599 0.6715 0.8732
Nb 0.8401 0.3285 0.1268
Nb 0.6599 0.8285 0.8732
Nb 0.3401 0.1715 0.3732
Nb 0.1644 0.4879 0.2500
Nb 0.8356 0.5121 0.7500
Nb 0.6599 0.8285 0.6268
Nb 0.8401 0.3285 0.3732

Values from the calculation:
Crystal system = orthorhombic
Electronic total energy = -7.73 eV per atom
D(E_F) = 13.656 states/eV per cell
Energy of formation = -0.815 eV/atom

# 20
Below is a relaxed structure of TmCu5Sn, with properties calculated at the PBEsol level.

Lattice parameters (Å, degrees): 4.8808 8.0480 10.4227 90.00 90.00 90.00
Element x y z (fractional)
Tm 0.7500 0.2511 0.0635
Tm 0.2500 0.7489 0.9365
Tm 0.2500 0.2489 0.5635
Tm 0.7500 0.7511 0.4365
Cu 0.5013 0.0694 0.3126
Cu 0.0013 0.4306 0.8126
Cu 0.2500 0.5577 0.3987
Cu 0.7500 0.1837 0.7410
Cu 0.2500 0.0577 0.1013
Cu 0.9987 0.0694 0.3126
Cu 0.0013 0.9306 0.6874
Cu 0.7500 0.9423 0.8987
Cu 0.4987 0.9306 0.6874
Cu 0.7500 0.5847 0.9833
Cu 0.2500 0.8163 0.2590
Cu 0.5013 0.5694 0.1874
Cu 0.2500 0.4153 0.0167
Cu 0.7500 0.0847 0.5167
Cu 0.7500 0.4423 0.6013
Cu 0.4987 0.4306 0.8126
Cu 0.2500 0.3163 0.2410
Cu 0.9987 0.5694 0.1874
Cu 0.2500 0.9153 0.4833
Cu 0.7500 0.6837 0.7590
Sn 0.2500 0.6369 0.6386
Sn 0.7500 0.3631 0.3614
Sn 0.2500 0.1369 0.8614
Sn 0.7500 0.8631 0.1386

Values from the calculation:
Crystal system = orthorhombic
Electronic total energy = -4.68 eV per atom
D(E_F) = 7.568 states/eV per cell
Energy of formation = -0.271 eV/atom

# 21
Below is a relaxed structure of YReI3, with properties calculated at the PBEsol level.

Lattice parameters (Å, degrees): 5.8853 5.8853 5.8853 90.00 90.00 90.00
Each line ends with the local moment (μB).
Element x y z (fractional)
I 0.0000 0.0000 0.5000  0.03
I 0.0000 0.5000 0.0000  0.03
I 0.5000 0.0000 0.0000  0.03
Re 0.5000 0.5000 0.5000  4.15
Y 0.0000 0.0000 0.0000  -0.06

Values from the calculation:
E_form (uncorrected) = 14.9 kcal/mol of atoms
Crystal system = cubic
Electronic total energy = -4.44 eV per atom
D(E_F) = 2.264 states/eV per cell

# 22
Below is a relaxed structure of YMo2Pt, with properties calculated at the PBEsol level.

Lattice parameters (Å, degrees): 3.8318 3.8318 4.7928 90.00 90.00 90.00
Element x y z (fractional)
Mo 0.0000 0.5000 0.0000
Mo 0.5000 0.0000 0.0000
Y 0.0000 0.0000 0.5000
Pt 0.5000 0.5000 0.5000

Values from the calculation:
Crystal system = tetragonal
Distance to the lowest polymorph of the same formula = 0.0 meV/atom
Electronic total energy = -9.33 eV per atom
D(E_F) = 3.261 states/eV per cell
Energy of formation = 0.005 eV/atom